Model 1:
The following is a SCAN calculation of a PBEsol-optimized structure of Ba3Ca, from Alexandria via LeMat-Bulk.

```
data_Ba3Ca
_chemical_formula_sum 'Ba6 Ca2'
_cell_length_a 6.905
_cell_length_b 8.428
_cell_length_c 7.329
_cell_angle_alpha 90.00
_cell_angle_beta 90.00
_cell_angle_gamma 90.00
_space_group_name_H-M_alt 'P m m n'
_space_group_IT_number 59
loop_
_space_group_symop_operation_xyz
'x,y,z'
'-x,-y,-z'
'-x+1/2,-y+1/2,z'
'x+1/2,y+1/2,-z'
'x+1/2,-y,-z'
'-x+1/2,y,z'
'-x,y+1/2,-z'
'x,-y+1/2,z'
loop_
_atom_site_label
_atom_site_type_symbol
_atom_site_fract_x
_atom_site_fract_y
_atom_site_fract_z
Ba1 Ba 0.250 0.002 0.169
Ba2 Ba 0.250 0.750 0.663
Ca1 Ca 0.250 0.250 0.671
```

---

Model 2:
The following is a SCAN calculation of a PBEsol-optimized structure of Ba3Ca, from Alexandria via LeMat-Bulk.

```
data_Ba3Ca
_chemical_formula_sum 'Ba3 Ca1'
_cell_length_a 6.012
_cell_length_b 6.012
_cell_length_c 6.012
_cell_angle_alpha 90.00
_cell_angle_beta 90.00
_cell_angle_gamma 90.00
_space_group_name_H-M_alt 'P m -3 m'
_space_group_IT_number 221
_space_group_name_Hall '-P 4 2 3'
loop_
_atom_site_label
_atom_site_type_symbol
_atom_site_fract_x
_atom_site_fract_y
_atom_site_fract_z
Ba1 Ba 0.000 0.000 0.500
Ca1 Ca 0.500 0.500 0.500
```

---

The computed energies, referenced to the most stable structure and given in meV per atom, are model 1 0; model 2 36.

---

Model 1:
The following is a SCAN calculation of a PBEsol-optimized structure of Ba3Ca, from Alexandria via LeMat-Bulk.

```
data_Ba3Ca
_chemical_formula_sum 'Ba12 Ca4'
_cell_length_a 5.946
_cell_length_b 5.946
_cell_length_c 24.458
_cell_angle_alpha 90.00
_cell_angle_beta 90.00
_cell_angle_gamma 90.00
_space_group_name_H-M_alt 'I 4/m m m'
_space_group_IT_number 139
_space_group_name_Hall '-I 4 2'
loop_
_atom_site_label
_atom_site_type_symbol
_atom_site_fract_x
_atom_site_fract_y
_atom_site_fract_z
Ba1 Ba 0.000 0.000 0.124
Ba2 Ba 0.000 0.500 0.000
Ba3 Ba 0.000 0.500 0.250
Ca1 Ca 0.000 0.000 0.374
```

---

Model 2:
The following is a SCAN calculation of a PBEsol-optimized structure of Ba3Ca, from Alexandria via LeMat-Bulk.

```
data_Ba3Ca
_chemical_formula_sum 'Ba9 Ca3'
_cell_length_a 4.2148
_cell_length_b 4.2148
_cell_length_c 41.6778
_cell_angle_alpha 90.00
_cell_angle_beta 90.00
_cell_angle_gamma 120.00
_space_group_name_H-M_alt 'R -3 m'
_space_group_IT_number 166
_space_group_name_Hall '-R 3 2"'
loop_
_atom_site_label
_atom_site_type_symbol
_atom_site_fract_x
_atom_site_fract_y
_atom_site_fract_z
Ba1 Ba 0.0000 0.0000 0.0000
Ba2 Ba 0.0000 0.0000 0.2464
Ca1 Ca 0.0000 0.0000 0.5000
```

---

The computed energies, referenced to the most stable structure and given in meV per atom, are model 1 0; model 2 13.

---

Model 1:
The following is a SCAN calculation of a PBEsol-optimized structure of Ba3Ca, from Alexandria via LeMat-Bulk.

```
data_Ba3Ca
_chemical_formula_sum 'Ba6 Ca2'
_cell_length_a 4.205
_cell_length_b 13.840
_cell_length_c 7.315
_cell_angle_alpha 90.00
_cell_angle_beta 90.00
_cell_angle_gamma 90.00
_space_group_name_H-M_alt 'I m m 2'
_space_group_IT_number 44
_space_group_name_Hall 'I 2 -2'
loop_
_atom_site_label
_atom_site_type_symbol
_atom_site_fract_x
_atom_site_fract_y
_atom_site_fract_z
Ba1 Ba 0.000 0.000 0.000
Ba2 Ba 0.000 0.247 0.666
Ca1 Ca 0.000 0.500 0.000
```

---

Model 2:
The following is a SCAN calculation of a PBEsol-optimized structure of Ba3Ca, from Alexandria via LeMat-Bulk.

```
data_Ba3Ca
_chemical_formula_sum 'Ba3 Ca1'
_cell_length_a 4.783
_cell_length_b 4.783
_cell_length_c 9.378
_cell_angle_alpha 90.00
_cell_angle_beta 90.00
_cell_angle_gamma 90.00
_space_group_name_H-M_alt 'P 4/m m m'
_space_group_IT_number 123
_space_group_name_Hall '-P 4 2'
loop_
_atom_site_label
_atom_site_type_symbol
_atom_site_fract_x
_atom_site_fract_y
_atom_site_fract_z
Ba1 Ba 0.000 0.000 0.000
Ba2 Ba 0.500 0.500 0.265
Ca1 Ca 0.000 0.000 0.500
```

---

Model 3:
The following is a SCAN calculation of a PBEsol-optimized structure of Ba3Ca, from Alexandria via LeMat-Bulk.

```
data_Ba3Ca
_chemical_formula_sum 'Ba12 Ca4'
_cell_length_a 9.485
_cell_length_b 9.485
_cell_length_c 9.485
_cell_angle_alpha 90.00
_cell_angle_beta 90.00
_cell_angle_gamma 90.00
_space_group_name_H-M_alt 'F m -3 m'
_space_group_IT_number 225
_space_group_name_Hall '-F 4 2 3'
loop_
_atom_site_label
_atom_site_type_symbol
_atom_site_fract_x
_atom_site_fract_y
_atom_site_fract_z
Ba1 Ba 0.000 0.000 0.000
Ba2 Ba 0.250 0.250 0.250
Ca1 Ca 0.000 0.000 0.500
```

---

Model 4:
The following is a SCAN calculation of a PBEsol-optimized structure of Ba3Ca, from Alexandria via LeMat-Bulk.

```
data_Ba3Ca
_chemical_formula_sum 'Ba3 Ca1'
_cell_length_a 4.2149
_cell_length_b 4.2149
_cell_length_c 13.8479
_cell_angle_alpha 90.00
_cell_angle_beta 90.00
_cell_angle_gamma 120.00
_space_group_name_H-M_alt 'P -6 m 2'
_space_group_IT_number 187
_space_group_name_Hall 'P -6 2'
loop_
_atom_site_label
_atom_site_type_symbol
_atom_site_fract_x
_atom_site_fract_y
_atom_site_fract_z
Ba1 Ba 0.0000 0.0000 0.0000
Ba2 Ba 0.6667 0.3333 0.2588
Ca1 Ca 0.0000 0.0000 0.5000
```

---

The computed energies, referenced to the most stable structure and given in meV per atom, are model 1 23; model 2 0; model 3 7; model 4 39.